# 1
Below is a geometry-optimized Ba2La2Bi structure, with properties calculated at the GGA-PBE level.

## Properties
Energy ... -3.7014 eV per atom
Formation energy from the elements ... -0.93 eV/f.u.
Size of the total moment ... 1.901 μB/cell
Space-group type ... P4/mbm, No. 127

The structure in extended XYZ format:
```
10
Lattice="8.627 0.000 0.000 0.000 8.627 0.000 0.000 0.000 6.057" Properties=species:S:1:pos:R:3 pbc="T T T"
Ba 1.437 2.876 0.000
Ba 2.876 7.190 0.000
Ba 5.751 1.437 0.000
Ba 7.190 5.751 0.000
La 1.254 5.568 3.029
La 3.059 1.254 3.029
La 5.568 7.373 3.029
La 7.373 3.059 3.029
Bi 0.000 0.000 3.029
Bi 4.314 4.314 3.029
```

***

# 2
Below is a geometry-optimized RbBaSrAl2 structure, with properties calculated at the GGA-PBE level.

## Properties
Energy ... -1.6640 eV per atom
Formation energy from the elements ... 3.74 eV/f.u.
Size of the total moment ... 0.000 μB/cell
Space-group type ... P4/mmm, No. 123
Excess energy over the best structure of this formula in the dataset ... 0.00 kcal/mol of atoms

The structure in extended XYZ format:
```
5
Lattice="6.054 0.000 0.000 0.000 6.054 0.000 0.000 0.000 6.293" Properties=species:S:1:pos:R:3 pbc="T T T"
Rb 0.000 0.000 0.000
Ba 0.000 0.000 3.147
Sr 3.027 3.027 0.000
Al 0.000 3.027 3.147
Al 3.027 0.000 3.147
```

***

# 3
Below is a geometry-optimized AlCdAsSe2 structure, with properties calculated at the GGA-PBE level.

## Properties
Energy ... -3.0645 eV per atom
Size of the total moment ... 0.000 μB/cell
Space-group type ... P4/mmm, No. 123
Excess energy over the best structure of this formula in the dataset ... 0.00 kcal/mol of atoms

The structure in extended XYZ format:
```
5
Lattice="4.907 0.000 0.000 0.000 4.907 0.000 0.000 0.000 4.974" Properties=species:S:1:pos:R:3 pbc="T T T"
Al 0.000 0.000 0.000
Cd 2.453 2.453 2.487
As 0.000 0.000 2.487
Se 0.000 2.453 0.000
Se 2.453 0.000 0.000
```

***

# 4
Below is a geometry-optimized DyBe5Cu7 structure, with properties calculated at the GGA-PBE level.

## Properties
Energy ... -4.1320 eV per atom
Formation energy from the elements ... -1.81 eV/f.u.
Size of the total moment ... 0.000 μB/cell
Space-group type ... Imm2, No. 44

The structure in extended XYZ format:
```
13
Lattice="-2.253 4.087 4.082 2.253 -4.087 4.082 2.253 4.087 -4.082" Properties=species:S:1:pos:R:3 pbc="T T T"
Dy 0.000 0.000 0.000
Be 1.130 2.074 2.007
Be 1.123 -2.013 6.090
Be 0.000 4.087 2.124
Be 1.130 6.100 2.007
Be 1.123 2.013 6.090
Cu 2.253 1.765 -0.068
Cu 2.253 0.000 1.827
Cu 0.000 0.000 2.878
Cu 0.000 2.873 0.019
Cu 0.000 5.301 0.019
Cu 0.000 0.000 5.323
Cu 0.000 2.322 4.014
```

***

# 5
Below is a geometry-optimized Sm6Co2PdBr3 structure, with properties calculated at the GGA-PBE level.

## Properties
Energy ... -5.2276 eV per atom
Size of the total moment ... 0.000 μB/cell
Space-group type ... C2/m, No. 12

The structure in extended XYZ format:
```
12
Lattice="9.652 -2.009 0.000 9.652 2.009 0.000 -3.300 0.000 8.389" Properties=species:S:1:pos:R:3 pbc="T T T"
Sm -0.374 0.000 1.984
Sm 4.686 0.000 3.744
Sm 3.666 0.000 7.298
Sm 12.339 0.000 1.091
Sm 11.319 0.000 4.645
Sm 16.379 0.000 6.405
Co 2.128 0.000 2.832
Co 13.877 0.000 5.557
Pd 9.652 0.000 0.000
Br 0.455 0.000 6.999
Br 8.003 0.000 4.194
Br 15.550 0.000 1.390
```

***

# 6
Below is a geometry-optimized Al3FeNi structure, with properties calculated at the GGA-PBE level.

## Properties
Energy ... -5.3801 eV per atom
Formation energy from the elements ... -1.43 eV/f.u.
Size of the total moment ... 0.483 μB/cell
Space-group type ... Cmmm, No. 65
Excess energy over the best structure of this formula in the dataset ... 0.00 kcal/mol of atoms

The structure in extended XYZ format:
```
10
Lattice="3.867 -6.684 0.000 3.867 6.684 0.000 0.000 0.000 2.692" Properties=species:S:1:pos:R:3 pbc="T T T"
Al 1.942 1.286 0.000
Al 3.867 3.359 0.000
Al 1.942 -1.286 0.000
Al 5.793 1.286 0.000
Al 3.867 -3.359 0.000
Al 5.793 -1.286 0.000
Fe 1.934 3.342 1.346
Fe 1.934 -3.342 1.346
Ni 0.000 0.000 1.346
Ni 3.867 0.000 1.346
```

***

What is the formula in the fourth record? DyBe5Cu7